Below is Pm3Zr2PaAs6 after structural relaxation, with properties calculated at the PBE level.

Geometry as CIF:
```
data_Pm3Zr2PaAs6
_chemical_formula_sum 'Pm6 Zr4 Pa2 As12'
_symmetry_space_group_name_H-M 'C 1 2/m 1'
_symmetry_Int_Tables_number 12
_cell_length_a 7.046
_cell_length_b 12.204
_cell_length_c 7.127
_cell_angle_alpha 90.00
_cell_angle_beta 109.28
_cell_angle_gamma 90.00
loop_
_symmetry_equiv_pos_as_xyz
'x,y,z'
'-x,-y,-z'
'-x,y,-z'
'x,-y,z'
'x+1/2,y+1/2,z'
'-x+1/2,-y+1/2,-z'
'-x+1/2,y+1/2,-z'
'x+1/2,-y+1/2,z'
loop_
_atom_site_label
_atom_site_type_symbol
_atom_site_fract_x
_atom_site_fract_y
_atom_site_fract_z
Pm1 Pm 0.000 0.000 0.000
Pm2 Pm 0.000 0.335 0.000
Zr1 Zr 0.000 0.167 0.500
Pa1 Pa 0.000 0.500 0.500
As1 As 0.238 0.000 0.729
As2 As 0.246 0.331 0.733
```

**D(E_F)**: 0.627 states/eV per atom
**ρ**: 7.5 Mg/m³
**Formation enthalpy at 0 K**: -1.308 eV per atom

Below is Pm2ZrPaAs4 after structural relaxation, with properties calculated at the PBE level.

Geometry as CIF:
```
data_Pm2ZrPaAs4
_chemical_formula_sum 'Pm2 Zr1 Pa1 As4'
_symmetry_space_group_name_H-M 'P 1 2/m 1'
_symmetry_Int_Tables_number 10
_cell_length_a 7.061
_cell_length_b 4.103
_cell_length_c 7.149
_cell_angle_alpha 90.00
_cell_angle_beta 109.27
_cell_angle_gamma 90.00
loop_
_symmetry_equiv_pos_as_xyz
'x,y,z'
'-x,-y,-z'
'-x,y,-z'
'x,-y,z'
loop_
_atom_site_label
_atom_site_type_symbol
_atom_site_fract_x
_atom_site_fract_y
_atom_site_fract_z
Pm1 Pm 0.000 0.000 0.000
Pm2 Pm 0.500 0.500 0.000
Zr1 Zr 0.000 0.500 0.500
Pa1 Pa 0.500 0.000 0.500
As1 As 0.239 0.000 0.731
As2 As 0.249 0.500 0.265
```

**D(E_F)**: 0.704 states/eV per atom
**ρ**: 7.7 Mg/m³
**Formation enthalpy at 0 K**: -1.300 eV per atom

Question: Among the records above, which one has the lowest ρ?
Answer: Pm3Zr2PaAs6

Question: Which of these has the lowest D(E_F)?
Answer: Pm3Zr2PaAs6

Question: The highest D(E_F) belongs to which entry?
Answer: Pm2ZrPaAs4

Question: Number 2 is which compound?
Answer: Pm2ZrPaAs4